{
  "formula": "SrY2ZnCo",
  "functional": "PBE-GGA",
  "state": "relaxed",
  "lattice_angstrom": [[5.1805, 0.0000, 0.0000], [0.0000, 5.1805, 0.0000], [0.0000, 0.0000, 5.0273]],
  "species": ["Y", "Y", "Sr", "Zn", "Co"],
  "frac_coords": [[0.0000, 0.5000, 0.0000], [0.5000, 0.0000, 0.0000], [0.5000, 0.5000, 0.5000], [0.0000, 0.0000, 0.5000], [0.0000, 0.0000, 0.0000]],
  "formation_energy_ev_per_atom": -0.013,
  "total_magnetization_mub_per_atom": 0.000,
  "sg": "No. 123"
}